# Be3ReRu, relaxed, DFT GGA-PBEsol
data_Be3ReRu
_chemical_formula_sum 'Be3 Re1 Ru1'
_cell_length_a 3.9424
_cell_length_b 3.9424
_cell_length_c 3.9424
_cell_angle_alpha 90.00
_cell_angle_beta 90.00
_cell_angle_gamma 90.00
_symmetry_space_group_name_H-M 'P m -3 m'
_symmetry_Int_Tables_number 221
_symmetry_space_group_name_Hall '-P 4 2 3'
loop_
_atom_site_label
_atom_site_type_symbol
_atom_site_fract_x
_atom_site_fract_y
_atom_site_fract_z
Be1 Be 0.0000 0.0000 0.5000
Re1 Re 0.5000 0.5000 0.5000
Ru1 Ru 0.0000 0.0000 0.0000
# total magnetization	1.5	μB per cell
# energy of formation from the pure elements	1084	meV/atom
# uncorrected energy	-30.08	eV for the cell shown
# volume	61.3	Å³ per cell
# DOS at the Fermi energy	2.59	states/eV per cell

# Sr2Cr, relaxed, DFT GGA-PBEsol
data_Sr2Cr
_chemical_formula_sum 'Sr4 Cr2'
_cell_length_a 7.7665
_cell_length_b 8.1307
_cell_length_c 3.9630
_cell_angle_alpha 90.00
_cell_angle_beta 90.00
_cell_angle_gamma 90.00
_symmetry_space_group_name_H-M 'P n n m'
_symmetry_Int_Tables_number 58
loop_
_symmetry_equiv_pos_as_xyz
'x,y,z'
'-x,-y,-z'
'-x,-y,z'
'x,y,-z'
'x+1/2,-y+1/2,-z+1/2'
'-x+1/2,y+1/2,z+1/2'
'-x+1/2,y+1/2,-z+1/2'
'x+1/2,-y+1/2,z+1/2'
loop_
_atom_site_label
_atom_site_type_symbol
_atom_site_fract_x
_atom_site_fract_y
_atom_site_fract_z
Sr1 Sr 0.2129 0.1637 0.0000
Cr1 Cr 0.0000 0.5000 0.0000
# total magnetization	9.4	μB per cell
# energy of formation from the pure elements	823	meV/atom
# uncorrected energy	-22.91	eV for the cell shown
# volume	250.2	Å³ per cell
# DOS at the Fermi energy	7.36	states/eV per cell

# Sc2OsCl, relaxed, DFT GGA-PBEsol
data_Sc2OsCl
_chemical_formula_sum 'Sc2 Os1 Cl1'
_cell_length_a 3.2281
_cell_length_b 3.1537
_cell_length_c 7.4453
_cell_angle_alpha 90.00
_cell_angle_beta 90.10
_cell_angle_gamma 90.00
_symmetry_space_group_name_H-M 'P 1 2/m 1'
_symmetry_Int_Tables_number 10
loop_
_symmetry_equiv_pos_as_xyz
'x,y,z'
'-x,-y,-z'
'-x,y,-z'
'x,-y,z'
loop_
_atom_site_label
_atom_site_type_symbol
_atom_site_fract_x
_atom_site_fract_y
_atom_site_fract_z
Sc1 Sc 0.0009 0.0000 0.2079
Os1 Os 0.5000 0.5000 0.0000
Cl1 Cl 0.0000 0.5000 0.5000
# total magnetization	0.0	μB per cell
# uncorrected energy	-31.25	eV for the cell shown
# volume	75.8	Å³ per cell
# DOS at the Fermi energy	1.87	states/eV per cell
# ΔE_f (raw)	-92.2	kJ/mol of atoms

# ZrSe2BrN, relaxed, DFT GGA-PBEsol
data_ZrSe2BrN
_chemical_formula_sum 'Zr1 Se2 Br1 N1'
_cell_length_a 4.4884
_cell_length_b 4.4884
_cell_length_c 4.2859
_cell_angle_alpha 90.00
_cell_angle_beta 90.00
_cell_angle_gamma 90.00
_symmetry_space_group_name_H-M 'P 4/m m m'
_symmetry_Int_Tables_number 123
_symmetry_space_group_name_Hall '-P 4 2'
loop_
_atom_site_label
_atom_site_type_symbol
_atom_site_fract_x
_atom_site_fract_y
_atom_site_fract_z
Zr1 Zr 0.0000 0.0000 0.0000
Se1 Se 0.0000 0.5000 0.5000
Br1 Br 0.5000 0.5000 0.0000
N1 N 0.5000 0.5000 0.5000
# total magnetization	0.0	μB per cell
# uncorrected energy	-25.43	eV for the cell shown
# volume	86.3	Å³ per cell
# DOS at the Fermi energy	3.49	states/eV per cell
# ΔE_f (raw)	33.9	kJ/mol of atoms

# KMoIO6, relaxed, DFT GGA-PBEsol
data_KMoIO6
_chemical_formula_sum 'K4 Mo4 I4 O24'
_cell_length_a 7.5228
_cell_length_b 7.4366
_cell_length_c 10.6137
_cell_angle_alpha 90.00
_cell_angle_beta 111.55
_cell_angle_gamma 90.00
_symmetry_space_group_name_H-M 'P 1 21/c 1'
_symmetry_Int_Tables_number 14
loop_
_symmetry_equiv_pos_as_xyz
'x,y,z'
'-x,-y,-z'
'-x,y+1/2,-z+1/2'
'x,-y+1/2,z+1/2'
loop_
_atom_site_label
_atom_site_type_symbol
_atom_site_fract_x
_atom_site_fract_y
_atom_site_fract_z
K1 K 0.0803 0.2344 0.4240
Mo1 Mo 0.4915 0.5010 0.2210
I1 I 0.3178 0.6791 0.4594
O1 O 0.0745 0.7164 0.3518
O2 O 0.2697 0.5466 0.5924
O3 O 0.2717 0.5761 0.1012
O4 O 0.3544 0.0567 0.3583
O5 O 0.3558 0.0299 0.8701
O6 O 0.4733 0.2411 0.6945
# total magnetization	0.0	μB per cell
# uncorrected energy	-236.24	eV for the cell shown
# volume	552.3	Å³ per cell
# DOS at the Fermi energy	0.00	states/eV per cell
# ΔE_f (raw)	-138.3	kJ/mol of atoms

# Li3CrFe2O6, relaxed, DFT GGA-PBEsol
data_Li3CrFe2O6
_chemical_formula_sum 'Li6 Cr2 Fe4 O12'
_cell_length_a 12.3908
_cell_length_b 2.8721
_cell_length_c 5.6819
_cell_angle_alpha 90.00
_cell_angle_beta 105.40
_cell_angle_gamma 90.00
_symmetry_space_group_name_H-M 'C 1 2/m 1'
_symmetry_Int_Tables_number 12
loop_
_symmetry_equiv_pos_as_xyz
'x,y,z'
'-x,-y,-z'
'-x,y,-z'
'x,-y,z'
'x+1/2,y+1/2,z'
'-x+1/2,-y+1/2,-z'
'-x+1/2,y+1/2,-z'
'x+1/2,-y+1/2,z'
loop_
_atom_site_label
_atom_site_type_symbol
_atom_site_fract_x
_atom_site_fract_y
_atom_site_fract_z
Li1 Li 0.0000 0.0000 0.0000
Li2 Li 0.1676 0.5000 0.3385
Cr1 Cr 0.0000 0.0000 0.5000
Fe1 Fe 0.1724 0.5000 0.8473
O1 O 0.0086 0.5000 0.7413
O2 O 0.1643 0.0000 0.6123
O3 O 0.1695 0.0000 0.0726
# total magnetization	10.1	μB per cell
# uncorrected energy	-172.98	eV for the cell shown
# volume	194.9	Å³ per cell
# DOS at the Fermi energy	6.81	states/eV per cell
# ΔE_f (raw)	-168.3	kJ/mol of atoms

# K2CaMo, relaxed, DFT GGA-PBEsol
data_K2CaMo
_chemical_formula_sum 'K2 Ca1 Mo1'
_cell_length_a 3.7433
_cell_length_b 3.7439
_cell_length_c 11.2200
_cell_angle_alpha 90.00
_cell_angle_beta 90.28
_cell_angle_gamma 90.00
_symmetry_space_group_name_H-M 'P 1 m 1'
_symmetry_Int_Tables_number 6
loop_
_symmetry_equiv_pos_as_xyz
'x,y,z'
'x,-y,z'
loop_
_atom_site_label
_atom_site_type_symbol
_atom_site_fract_x
_atom_site_fract_y
_atom_site_fract_z
K1 K 0.0000 0.0000 0.0000
K2 K 0.4861 0.5000 0.3503
Ca1 Ca 0.4922 0.5000 0.7039
Mo1 Mo 0.9895 0.0000 0.5630
# total magnetization	3.2	μB per cell
# energy of formation from the pure elements	1051	meV/atom
# uncorrected energy	-11.96	eV for the cell shown
# volume	157.2	Å³ per cell
# DOS at the Fermi energy	4.53	states/eV per cell

# TiCuGe2, relaxed, DFT GGA-PBEsol
data_TiCuGe2
_chemical_formula_sum 'Ti4 Cu4 Ge8'
_cell_length_a 6.2291
_cell_length_b 6.2291
_cell_length_c 6.2291
_cell_angle_alpha 90.00
_cell_angle_beta 90.00
_cell_angle_gamma 90.00
_symmetry_space_group_name_H-M 'F m -3 m'
_symmetry_Int_Tables_number 225
_symmetry_space_group_name_Hall '-F 4 2 3'
loop_
_atom_site_label
_atom_site_type_symbol
_atom_site_fract_x
_atom_site_fract_y
_atom_site_fract_z
Ti1 Ti 0.0000 0.0000 0.0000
Cu1 Cu 0.0000 0.0000 0.5000
Ge1 Ge 0.2500 0.2500 0.2500
# total magnetization	2.8	μB per cell
# energy of formation from the pure elements	21	meV/atom
# uncorrected energy	-89.80	eV for the cell shown
# volume	241.7	Å³ per cell
# DOS at the Fermi energy	12.82	states/eV per cell

# ReAg2Os, relaxed, DFT GGA-PBEsol
data_ReAg2Os
_chemical_formula_sum 'Re1 Ag2 Os1'
_cell_length_a 4.6683
_cell_length_b 4.6683
_cell_length_c 2.7859
_cell_angle_alpha 90.00
_cell_angle_beta 90.00
_cell_angle_gamma 90.00
_symmetry_space_group_name_H-M 'P 4/m m m'
_symmetry_Int_Tables_number 123
_symmetry_space_group_name_Hall '-P 4 2'
loop_
_atom_site_label
_atom_site_type_symbol
_atom_site_fract_x
_atom_site_fract_y
_atom_site_fract_z
Re1 Re 0.0000 0.0000 0.0000
Ag1 Ag 0.0000 0.5000 0.5000
Os1 Os 0.5000 0.5000 0.0000
# total magnetization	0.0	μB per cell
# energy of formation from the pure elements	1145	meV/atom
# uncorrected energy	-27.59	eV for the cell shown
# volume	60.7	Å³ per cell
# DOS at the Fermi energy	3.63	states/eV per cell

# TlCr2IrRu, relaxed, DFT GGA-PBEsol
data_TlCr2IrRu
_chemical_formula_sum 'Tl1 Cr2 Ir1 Ru1'
_cell_length_a 4.5397
_cell_length_b 4.5397
_cell_length_c 4.7369
_cell_angle_alpha 90.00
_cell_angle_beta 90.00
_cell_angle_gamma 90.00
_symmetry_space_group_name_H-M 'P 4/m m m'
_symmetry_Int_Tables_number 123
_symmetry_space_group_name_Hall '-P 4 2'
loop_
_atom_site_label
_atom_site_type_symbol
_atom_site_fract_x
_atom_site_fract_y
_atom_site_fract_z
Tl1 Tl 0.0000 0.0000 0.0000
Cr1 Cr 0.0000 0.5000 0.5000
Ir1 Ir 0.5000 0.5000 0.0000
Ru1 Ru 0.5000 0.5000 0.5000
# total magnetization	5.5	μB per cell
# energy of formation from the pure elements	1337	meV/atom
# uncorrected energy	-36.42	eV for the cell shown
# volume	97.6	Å³ per cell
# DOS at the Fermi energy	4.19	states/eV per cell

# Zn13Ag, relaxed, DFT GGA-PBEsol
data_Zn13Ag
_chemical_formula_sum 'Zn104 Ag8'
_cell_length_a 11.9518
_cell_length_b 11.9518
_cell_length_c 11.9518
_cell_angle_alpha 90.00
_cell_angle_beta 90.00
_cell_angle_gamma 90.00
_symmetry_space_group_name_H-M 'F m -3 c'
_symmetry_Int_Tables_number 226
_symmetry_space_group_name_Hall '-F 4a 2 3'
loop_
_atom_site_label
_atom_site_type_symbol
_atom_site_fract_x
_atom_site_fract_y
_atom_site_fract_z
Zn1 Zn 0.0000 0.0000 0.0000
Zn2 Zn 0.0000 0.1196 0.1814
Ag1 Ag 0.2500 0.2500 0.2500
# total magnetization	0.0	μB per cell
# energy of formation from the pure elements	82	meV/atom
# uncorrected energy	-181.83	eV for the cell shown
# volume	1707.3	Å³ per cell
# DOS at the Fermi energy	15.04	states/eV per cell

# SrAgAu, relaxed, DFT GGA-PBEsol
data_SrAgAu
_chemical_formula_sum 'Sr4 Ag4 Au4'
_cell_length_a 6.8862
_cell_length_b 6.8862
_cell_length_c 6.8862
_cell_angle_alpha 90.00
_cell_angle_beta 90.00
_cell_angle_gamma 90.00
_symmetry_space_group_name_H-M 'F -4 3 m'
_symmetry_Int_Tables_number 216
_symmetry_space_group_name_Hall 'F -4 2 3'
loop_
_atom_site_label
_atom_site_type_symbol
_atom_site_fract_x
_atom_site_fract_y
_atom_site_fract_z
Sr1 Sr 0.0000 0.0000 0.0000
Ag1 Ag 0.0000 0.0000 0.5000
Au1 Au 0.2500 0.2500 0.7500
# total magnetization	0.0	μB per cell
# energy of formation from the pure elements	-324	meV/atom
# uncorrected energy	-40.19	eV for the cell shown
# volume	326.5	Å³ per cell
# DOS at the Fermi energy	5.40	states/eV per cell